(1)
A plane-wave DFT calculation with PBE+U was carried out for a relaxed structure of CsMnO2F.

abc: 4.514 4.514 5.140
angles: 90.00 90.00 90.00
Atoms (fractional coordinates):
1 Cs 0.000 0.000 0.000
2 Mn 0.500 0.500 0.500
3 O 0.000 0.500 0.000
4 O 0.500 0.000 0.000
5 F 0.000 0.000 0.500

Computed properties:
Magnetization, μB per cell: 5.03
Raw total energy, eV per atom: -3.9872
N(E_F), states/eV/cell: 2.8
Crystal system: tetragonal



(2)
A plane-wave DFT calculation with PBE+U was carried out for a relaxed structure of Cs2MnOF5.

abc: 6.491 6.491 6.465
angles: 121.14 121.13 88.33
Atoms (fractional coordinates):
1 Cs 0.251 0.733 0.484
2 Cs 0.751 0.233 0.484
3 Mn 0.001 0.983 0.985
4 O 0.204 0.186 0.390
5 F 0.798 0.192 0.991
6 F 0.210 0.781 0.991
7 F 0.797 0.779 0.975
8 F 0.197 0.179 0.976
9 F 0.791 0.774 0.565

Computed properties:
Magnetization, μB per cell: 2.00
Raw total energy, eV per atom: -4.8606
Crystal system: orthorhombic



(3)
A plane-wave DFT calculation with PBE+U was carried out for a relaxed structure of CsMnO2F4.

abc: 7.091 7.091 8.385
angles: 58.83 58.83 59.20
Atoms (fractional coordinates):
1 Cs 0.272 0.728 0.250
2 Cs 0.728 0.272 0.750
3 Mn 0.000 0.500 0.000
4 Mn 0.500 0.000 0.500
5 O 0.951 0.330 0.265
6 O 0.670 0.049 0.235
7 O 0.049 0.670 0.735
8 O 0.330 0.951 0.765
9 F 0.775 0.427 0.014
10 F 0.573 0.225 0.486
11 F 0.225 0.573 0.986
12 F 0.427 0.775 0.514
13 F 0.771 0.765 0.059
14 F 0.235 0.229 0.441
15 F 0.229 0.235 0.941
16 F 0.765 0.771 0.559

Computed properties:
Magnetization, μB per cell: 0.00
Raw total energy, eV per atom: -4.6607
N(E_F), states/eV/cell: 0.3
Crystal system: monoclinic



(4)
A plane-wave DFT calculation with PBE+U was carried out for a relaxed structure of CsMnO2F.

abc: 3.945 3.945 5.004
angles: 90.00 90.00 90.00
Atoms (fractional coordinates):
1 Cs 0.500 0.500 0.500
2 Mn 0.000 0.000 0.000
3 O 0.000 0.500 0.000
4 O 0.500 0.000 0.000
5 F 0.000 0.000 0.500

Computed properties:
Magnetization, μB per cell: 3.00
Raw total energy, eV per atom: -5.5364
N(E_F), states/eV/cell: 3.2
Crystal system: tetragonal



(5)
A plane-wave DFT calculation with PBE+U was carried out for a relaxed structure of CsMnOF2.

abc: 4.491 4.491 3.864
angles: 90.00 90.00 90.00
Atoms (fractional coordinates):
1 Cs 0.500 0.500 0.500
2 Mn 0.000 0.000 0.000
3 O 0.000 0.000 0.500
4 F 0.000 0.500 0.000
5 F 0.500 0.000 0.000

Computed properties:
Magnetization, μB per cell: 4.00
Raw total energy, eV per atom: -5.5262
N(E_F), states/eV/cell: 2.4
Distance to the lowest polymorph of the same formula, eV per formula unit: 0.00
Crystal system: tetragonal



(6)
A plane-wave DFT calculation with PBE+U was carried out for a relaxed structure of Cs3Mn2PbF9.

abc: 6.420 6.420 7.909
angles: 90.00 90.00 120.00
Atoms (fractional coordinates):
1 Cs 0.333 0.667 0.672
2 Cs 0.000 0.000 0.000
3 Cs 0.667 0.333 0.328
4 Mn 0.333 0.667 0.152
5 Mn 0.667 0.333 0.848
6 Pb 0.000 0.000 0.500
7 F 0.822 0.178 0.685
8 F 0.822 0.644 0.685
9 F 0.356 0.178 0.685
10 F 0.644 0.822 0.315
11 F 0.178 0.356 0.315
12 F 0.178 0.822 0.315
13 F 0.500 0.000 0.000
14 F 0.000 0.500 0.000
15 F 0.500 0.500 0.000

Computed properties:
Magnetization, μB per cell: 10.00
Raw total energy, eV per atom: -5.2164
N(E_F), states/eV/cell: 0.0
Crystal system: trigonal



(7)
A plane-wave DFT calculation with PBE+U was carried out for a relaxed structure of Cs2MnPbF6.

abc: 4.716 4.716 9.186
angles: 90.00 90.00 90.00
Atoms (fractional coordinates):
1 Cs 0.000 0.000 0.731
2 Cs 0.000 0.000 0.269
3 Mn 0.500 0.500 0.500
4 Pb 0.500 0.500 0.000
5 F 0.500 0.000 0.000
6 F 0.500 0.000 0.500
7 F 0.000 0.500 0.000
8 F 0.000 0.500 0.500
9 F 0.500 0.500 0.724
10 F 0.500 0.500 0.276

Computed properties:
Magnetization, μB per cell: 5.00
Raw total energy, eV per atom: -5.0281
N(E_F), states/eV/cell: 0.0
Crystal system: tetragonal



(8)
A plane-wave DFT calculation with PBE+U was carried out for a relaxed structure of CsMnPdF6.

abc: 7.546 8.078 7.680
angles: 121.73 119.42 90.00
Atoms (fractional coordinates):
1 Cs 0.879 0.629 0.758
2 Cs 0.121 0.371 0.242
3 Mn 0.500 0.000 0.500
4 Mn 0.000 0.000 0.500
5 Pd 0.500 0.500 0.000
6 Pd 0.500 0.000 0.000
7 F 0.433 0.683 0.865
8 F 0.825 0.075 0.650
9 F 0.818 0.071 0.249
10 F 0.431 0.678 0.249
11 F 0.431 0.071 0.249
12 F 0.818 0.678 0.249
13 F 0.567 0.317 0.135
14 F 0.175 0.925 0.350
15 F 0.182 0.929 0.751
16 F 0.569 0.322 0.751
17 F 0.569 0.929 0.751
18 F 0.182 0.322 0.751

Computed properties:
Magnetization, μB per cell: 10.54
Raw total energy, eV per atom: -4.9045
N(E_F), states/eV/cell: 3.0
Crystal system: orthorhombic



(9)
A plane-wave DFT calculation with PBE+U was carried out for a relaxed structure of Cs2PmMnF6.

abc: 6.750 6.758 9.549
angles: 90.00 90.00 90.00
Atoms (fractional coordinates):
1 Cs 0.500 0.750 0.250
2 Cs 0.000 0.250 0.750
3 Cs 0.500 0.750 0.750
4 Cs 0.000 0.250 0.250
5 Pm 0.500 0.250 0.500
6 Pm 0.000 0.750 0.000
7 Mn 0.000 0.750 0.500
8 Mn 0.500 0.250 0.000
9 F 0.500 0.250 0.262
10 F 0.500 0.250 0.738
11 F 0.000 0.750 0.238
12 F 0.000 0.750 0.762
13 F 0.262 0.012 0.500
14 F 0.738 0.012 0.500
15 F 0.262 0.488 0.500
16 F 0.738 0.488 0.500
17 F 0.762 0.512 0.000
18 F 0.238 0.512 0.000
19 F 0.238 0.988 0.000
20 F 0.762 0.988 0.000

Computed properties:
Magnetization, μB per cell: 11.98
Raw total energy, eV per atom: -5.4463
N(E_F), states/eV/cell: 3.5
Crystal system: cubic



(10)
A plane-wave DFT calculation with PBE+U was carried out for a relaxed structure of CsPrMnF6.

abc: 8.086 7.684 7.764
angles: 119.66 121.38 90.00
Atoms (fractional coordinates):
1 Cs 0.845 0.595 0.689
2 Cs 0.155 0.405 0.311
3 Pr 0.500 0.000 0.500
4 Pr 0.000 0.000 0.500
5 Mn 0.500 0.500 0.000
6 Mn 0.500 0.000 0.000
7 F 0.594 0.844 0.189
8 F 0.861 0.111 0.722
9 F 0.827 0.145 0.268
10 F 0.441 0.623 0.268
11 F 0.441 0.145 0.268
12 F 0.827 0.623 0.268
13 F 0.406 0.156 0.811
14 F 0.139 0.889 0.278
15 F 0.173 0.855 0.732
16 F 0.559 0.377 0.732
17 F 0.559 0.855 0.732
18 F 0.173 0.377 0.732

Computed properties:
Magnetization, μB per cell: 10.00
Raw total energy, eV per atom: -6.0002
N(E_F), states/eV/cell: 0.0
Crystal system: orthorhombic



(11)
A plane-wave DFT calculation with PBE+U was carried out for a relaxed structure of Cs2PuMnF6.

abc: 6.551 6.553 9.266
angles: 90.00 90.00 90.00
Atoms (fractional coordinates):
1 Cs 0.500 0.750 0.250
2 Cs 0.000 0.250 0.750
3 Cs 0.500 0.750 0.750
4 Cs 0.000 0.250 0.250
5 Pu 0.500 0.250 0.500
6 Pu 0.000 0.750 0.000
7 Mn 0.000 0.750 0.500
8 Mn 0.500 0.250 0.000
9 F 0.500 0.250 0.764
10 F 0.500 0.250 0.236
11 F 0.000 0.750 0.736
12 F 0.000 0.750 0.264
13 F 0.764 0.513 0.500
14 F 0.236 0.513 0.500
15 F 0.764 0.986 0.500
16 F 0.236 0.986 0.500
17 F 0.264 0.014 0.000
18 F 0.736 0.014 0.000
19 F 0.736 0.487 0.000
20 F 0.264 0.487 0.000

Computed properties:
Magnetization, μB per cell: 21.91
Raw total energy, eV per atom: -6.2955
N(E_F), states/eV/cell: 26.9
Crystal system: orthorhombic



(12)
A plane-wave DFT calculation with PBE+U was carried out for a relaxed structure of Cs2PuMn3F12.

abc: 8.095 8.095 8.095
angles: 57.61 57.61 57.61
Atoms (fractional coordinates):
1 Cs 0.599 0.599 0.599
2 Cs 0.401 0.401 0.401
3 Pu 0.000 0.000 0.000
4 Mn 0.500 0.000 0.000
5 Mn 0.000 0.500 0.000
6 Mn 0.000 0.000 0.500
7 F 0.312 0.312 0.918
8 F 0.078 0.078 0.669
9 F 0.669 0.078 0.078
10 F 0.918 0.312 0.312
11 F 0.078 0.669 0.078
12 F 0.312 0.918 0.312
13 F 0.688 0.688 0.082
14 F 0.922 0.922 0.331
15 F 0.331 0.922 0.922
16 F 0.082 0.688 0.688
17 F 0.922 0.331 0.922
18 F 0.688 0.082 0.688

Computed properties:
Magnetization, μB per cell: 19.00
Raw total energy, eV per atom: -6.3313
N(E_F), states/eV/cell: 3.8
Crystal system: trigonal



(13)
A plane-wave DFT calculation with PBE+U was carried out for a relaxed structure of Cs3Rb3MnF8.

abc: 8.047 8.043 8.227
angles: 119.29 90.00 120.02
Atoms (fractional coordinates):
1 Cs 0.000 0.000 0.000
2 Cs 0.000 0.500 0.000
3 Cs 0.500 0.500 0.000
4 Rb 0.500 0.000 0.500
5 Rb 0.500 0.500 0.500
6 Rb 0.000 0.500 0.500
7 Mn 0.000 0.000 0.500
8 F 0.256 0.512 0.268
9 F 0.744 0.488 0.732
10 F 0.809 0.619 0.317
11 F 0.191 0.381 0.683
12 F 0.807 0.008 0.315
13 F 0.193 0.992 0.685
14 F 0.200 0.008 0.315
15 F 0.800 0.992 0.685

Computed properties:
Magnetization, μB per cell: 5.00
Raw total energy, eV per atom: -4.5321
N(E_F), states/eV/cell: 0.0
Crystal system: monoclinic



(14)
A plane-wave DFT calculation with PBE+U was carried out for a relaxed structure of CsRb3Mn2F9.

abc: 6.116 6.116 9.071
angles: 90.00 90.00 120.00
Atoms (fractional coordinates):
1 Cs 0.000 0.000 0.500
2 Rb 0.333 0.667 0.737
3 Rb 0.000 0.000 0.000
4 Rb 0.667 0.333 0.263
5 Mn 0.333 0.667 0.136
6 Mn 0.667 0.333 0.864
7 F 0.823 0.177 0.743
8 F 0.823 0.647 0.743
9 F 0.353 0.177 0.743
10 F 0.647 0.823 0.257
11 F 0.177 0.353 0.257
12 F 0.177 0.823 0.257
13 F 0.500 0.000 0.000
14 F 0.000 0.500 0.000
15 F 0.500 0.500 0.000

Computed properties:
Magnetization, μB per cell: 9.00
Raw total energy, eV per atom: -5.0414
N(E_F), states/eV/cell: 3.2
Crystal system: trigonal



(15)
A plane-wave DFT calculation with PBE+U was carried out for a relaxed structure of CsRb4Mn3F12.

abc: 7.859 7.859 7.859
angles: 109.47 109.47 109.47
Atoms (fractional coordinates):
1 Cs 0.000 0.000 0.000
2 Rb 0.500 0.500 0.500
3 Rb 0.000 0.000 0.500
4 Rb 0.500 0.000 0.000
5 Rb 0.000 0.500 0.000
6 Mn 0.500 0.000 0.500
7 Mn 0.500 0.500 0.000
8 Mn 0.000 0.500 0.500
9 F 0.250 0.500 0.750
10 F 0.710 0.000 0.710
11 F 0.290 0.000 0.290
12 F 0.750 0.500 0.250
13 F 0.710 0.710 0.000
14 F 0.290 0.290 0.000
15 F 0.750 0.250 0.500
16 F 0.250 0.750 0.500
17 F 0.500 0.250 0.750
18 F 0.000 0.710 0.710
19 F 0.500 0.750 0.250
20 F 0.000 0.290 0.290

Computed properties:
Magnetization, μB per cell: 14.00
Raw total energy, eV per atom: -5.1342
N(E_F), states/eV/cell: 3.4
Crystal system: cubic



(16)
A plane-wave DFT calculation with PBE+U was carried out for a relaxed structure of CsRb2MnF5.

abc: 7.798 7.798 8.498
angles: 117.31 117.31 90.00
Atoms (fractional coordinates):
1 Cs 0.250 0.250 0.500
2 Cs 0.750 0.750 0.500
3 Rb 0.181 0.319 0.000
4 Rb 0.681 0.181 0.000
5 Rb 0.319 0.819 0.000
6 Rb 0.819 0.681 0.000
7 Mn 0.250 0.750 0.500
8 Mn 0.750 0.250 0.500
9 F 0.012 0.512 0.302
10 F 0.710 0.210 0.698
11 F 0.988 0.488 0.698
12 F 0.210 0.988 0.698
13 F 0.488 0.710 0.698
14 F 0.790 0.012 0.302
15 F 0.512 0.290 0.302
16 F 0.290 0.790 0.302
17 F 0.500 0.500 0.000
18 F 0.000 0.000 0.000

Computed properties:
Magnetization, μB per cell: 9.80
Raw total energy, eV per atom: -4.8556
N(E_F), states/eV/cell: 0.0
Crystal system: tetragonal



(17)
A plane-wave DFT calculation with PBE+U was carried out for a relaxed structure of Cs3RbMn2F9.

abc: 6.379 6.379 8.111
angles: 90.00 90.00 120.00
Atoms (fractional coordinates):
1 Cs 0.333 0.667 0.665
2 Cs 0.000 0.000 0.000
3 Cs 0.667 0.333 0.335
4 Rb 0.000 0.000 0.500
5 Mn 0.333 0.667 0.143
6 Mn 0.667 0.333 0.857
7 F 0.814 0.186 0.713
8 F 0.814 0.629 0.713
9 F 0.371 0.186 0.713
10 F 0.629 0.814 0.287
11 F 0.186 0.371 0.287
12 F 0.186 0.814 0.287
13 F 0.500 0.000 0.000
14 F 0.000 0.500 0.000
15 F 0.500 0.500 0.000

Computed properties:
Magnetization, μB per cell: 9.00
Raw total energy, eV per atom: -5.0420
N(E_F), states/eV/cell: 3.4
Crystal system: trigonal



(18)
A plane-wave DFT calculation with PBE+U was carried out for a relaxed structure of CsMnRhF6.

abc: 7.664 7.509 7.654
angles: 119.38 120.04 90.00
Atoms (fractional coordinates):
1 Cs 0.882 0.632 0.764
2 Cs 0.118 0.368 0.236
3 Mn 0.500 0.000 0.500
4 Mn 0.000 0.000 0.500
5 Rh 0.500 0.500 0.000
6 Rh 0.500 0.000 0.000
7 F 0.431 0.681 0.861
8 F 0.824 0.074 0.648
9 F 0.814 0.081 0.246
10 F 0.431 0.665 0.246
11 F 0.431 0.081 0.246
12 F 0.814 0.665 0.246
13 F 0.569 0.319 0.139
14 F 0.176 0.926 0.352
15 F 0.186 0.919 0.754
16 F 0.569 0.335 0.754
17 F 0.569 0.919 0.754
18 F 0.186 0.335 0.754

Computed properties:
Magnetization, μB per cell: 9.97
Raw total energy, eV per atom: -5.2582
Crystal system: orthorhombic